1.
DFT (meta-GGA SCAN) results for a PBEsol-optimized structure of RbNbHg2Pd.

Lattice parameters (Å, degrees): 4.947 5.646 5.646 90.00 90.00 90.00
Site moments in Bohr magnetons follow the coordinates.
Sites, in units of the cell vectors:
Pd 0.500 0.000 0.000  0.00
Hg 0.000 0.000 0.500  0.02
Hg 0.000 0.500 0.000  0.02
Rb 0.000 0.000 0.000  0.00
Nb 0.500 0.500 0.500  2.70

Results
E_form in eV/atom: 1.6417
VASP energy in eV per formula unit: -214.77
M_tot in μB/cell: 3.98

***

2.
DFT (meta-GGA SCAN) results for a PBEsol-optimized structure of CaFeHg2Ru.

Lattice parameters (Å, degrees): 4.461 5.157 5.157 90.00 90.00 90.00
Site moments in Bohr magnetons follow the coordinates.
Sites, in units of the cell vectors:
Ru 0.000 0.000 0.000  0.77
Hg 0.000 0.000 0.500  -0.01
Hg 0.000 0.500 0.000  -0.01
Ca 0.500 0.500 0.500  -0.04
Fe 0.500 0.000 0.000  3.33

Results
E_form in eV/atom: 0.3258
VASP energy in eV per formula unit: -197.32
M_tot in μB/cell: 3.87

***

- What is the M_tot in the first record?
  3.98 μB/cell

***

- The lowest VASP energy belongs to which entry?
  RbNbHg2Pd